Record 1
A plane-wave DFT calculation with GGA-PBE was carried out for a relaxed Dy4YSc5 crystal.

Structure (CIF):
```
data_Dy4YSc5
_cell_length_a 7.7824
_cell_length_b 7.7824
_cell_length_c 9.6988
_cell_angle_alpha 126.39
_cell_angle_beta 126.39
_cell_angle_gamma 40.24
_symmetry_space_group_name_H-M 'P 1'
_symmetry_Int_Tables_number 1
loop_
_symmetry_equiv_pos_as_xyz
'x,y,z'
loop_
_atom_site_label
_atom_site_type_symbol
_atom_site_fract_x
_atom_site_fract_y
_atom_site_fract_z
Dy1 Dy 0.2460 0.2460 0.1307
Dy2 Dy 0.2534 0.2534 0.6288
Dy3 Dy 0.7466 0.7466 0.3712
Dy4 Dy 0.7540 0.7540 0.8693
Y1 Y 0.5000 0.5000 0.5000
Sc1 Sc 0.0000 0.0000 0.0000
Sc2 Sc 0.0523 0.0523 0.7137
Sc3 Sc 0.4452 0.4452 0.0956
Sc4 Sc 0.5548 0.5548 0.9044
Sc5 Sc 0.9477 0.9477 0.2863
```

Values from the calculation:
The raw total energy comes out at -5.40 eV/atom. The crystal system is monoclinic.

=====

Record 2
A plane-wave DFT calculation with GGA-PBE was carried out for a relaxed PrTmZnGa crystal.

Structure (CIF):
```
data_PrTmZnGa
_cell_length_a 5.1334
_cell_length_b 5.1334
_cell_length_c 5.1334
_cell_angle_alpha 60.00
_cell_angle_beta 60.00
_cell_angle_gamma 60.00
_symmetry_space_group_name_H-M 'P 1'
_symmetry_Int_Tables_number 1
loop_
_symmetry_equiv_pos_as_xyz
'x,y,z'
loop_
_atom_site_label
_atom_site_type_symbol
_atom_site_fract_x
_atom_site_fract_y
_atom_site_fract_z
Pr1 Pr 0.0000 0.0000 0.0000
Tm1 Tm 0.5000 0.5000 0.5000
Zn1 Zn 0.7500 0.7500 0.7500
Ga1 Ga 0.2500 0.2500 0.2500
```

Values from the calculation:
The raw total energy comes out at -3.83 eV/atom. The crystal system is cubic.

=====

Record 3
A plane-wave DFT calculation with GGA-PBE was carried out for a relaxed NdHfGa3 crystal.

Structure (CIF):
```
data_NdHfGa3
_cell_length_a 12.7491
_cell_length_b 12.7491
_cell_length_c 4.0880
_cell_angle_alpha 90.00
_cell_angle_beta 90.00
_cell_angle_gamma 161.58
_symmetry_space_group_name_H-M 'P 1'
_symmetry_Int_Tables_number 1
loop_
_symmetry_equiv_pos_as_xyz
'x,y,z'
loop_
_atom_site_label
_atom_site_type_symbol
_atom_site_fract_x
_atom_site_fract_y
_atom_site_fract_z
Nd1 Nd 0.0773 0.9227 0.7500
Nd2 Nd 0.9227 0.0773 0.2500
Hf1 Hf 0.2065 0.7935 0.2500
Hf2 Hf 0.7935 0.2065 0.7500
Ga1 Ga 0.3156 0.6844 0.2500
Ga2 Ga 0.3746 0.6254 0.7500
Ga3 Ga 0.4743 0.5257 0.7500
Ga4 Ga 0.5257 0.4743 0.2500
Ga5 Ga 0.6254 0.3746 0.2500
Ga6 Ga 0.6844 0.3156 0.7500
```

Values from the calculation:
The raw total energy comes out at -5.31 eV/atom. The crystal system is orthorhombic.

=====

Record 4
A plane-wave DFT calculation with GGA-PBE was carried out for a relaxed BeIrF2 crystal.

Structure (CIF):
```
data_BeIrF2
_cell_length_a 5.0955
_cell_length_b 5.0955
_cell_length_c 5.0955
_cell_angle_alpha 60.00
_cell_angle_beta 60.00
_cell_angle_gamma 60.00
_symmetry_space_group_name_H-M 'P 1'
_symmetry_Int_Tables_number 1
loop_
_symmetry_equiv_pos_as_xyz
'x,y,z'
loop_
_atom_site_label
_atom_site_type_symbol
_atom_site_fract_x
_atom_site_fract_y
_atom_site_fract_z
Be1 Be 0.1250 0.1250 0.1250
Be2 Be 0.8750 0.8750 0.8750
Ir1 Ir 0.3750 0.3750 0.3750
Ir2 Ir 0.6250 0.6250 0.6250
F1 F 0.0000 0.0000 0.0000
F2 F 0.0000 0.0000 0.5000
F3 F 0.0000 0.5000 0.0000
F4 F 0.5000 0.0000 0.0000
```

Values from the calculation:
As for the raw formation energy: -4.4 eV per formula unit. The crystal system is cubic.

=====

Record 5
A plane-wave DFT calculation with GGA-PBE was carried out for a relaxed YHf2N3 crystal.

Structure (CIF):
```
data_YHf2N3
_cell_length_a 5.7094
_cell_length_b 5.7094
_cell_length_c 5.7094
_cell_angle_alpha 146.73
_cell_angle_beta 131.88
_cell_angle_gamma 59.76
_symmetry_space_group_name_H-M 'P 1'
_symmetry_Int_Tables_number 1
loop_
_symmetry_equiv_pos_as_xyz
'x,y,z'
loop_
_atom_site_label
_atom_site_type_symbol
_atom_site_fract_x
_atom_site_fract_y
_atom_site_fract_z
Y1 Y 0.0000 0.0000 0.0000
Hf1 Hf 0.3340 0.3340 0.0000
Hf2 Hf 0.6660 0.6660 0.0000
N1 N 0.1788 0.6788 0.5000
N2 N 0.5000 0.0000 0.5000
N3 N 0.8212 0.3212 0.5000
```

Values from the calculation:
As for the raw formation energy: -10.4 eV per formula unit. The crystal system is orthorhombic.

=====

Record 6
A plane-wave DFT calculation with GGA-PBE was carried out for a relaxed NdI4N2 crystal.

Structure (CIF):
```
data_NdI4N2
_cell_length_a 3.9858
_cell_length_b 8.2709
_cell_length_c 8.3847
_cell_angle_alpha 102.57
_cell_angle_beta 90.28
_cell_angle_gamma 103.79
_symmetry_space_group_name_H-M 'P 1'
_symmetry_Int_Tables_number 1
loop_
_symmetry_equiv_pos_as_xyz
'x,y,z'
loop_
_atom_site_label
_atom_site_type_symbol
_atom_site_fract_x
_atom_site_fract_y
_atom_site_fract_z
Nd1 Nd 0.0000 0.0000 0.0000
I1 I 0.3140 0.6238 0.7423
I2 I 0.4337 0.8610 0.2274
I3 I 0.5663 0.1390 0.7726
I4 I 0.6860 0.3762 0.2577
N1 N 0.1399 0.2840 0.1959
N2 N 0.8601 0.7160 0.8041
```

Values from the calculation:
As for the raw formation energy: 0.9 eV per formula unit. The crystal system is triclinic.

=====

Record 7
A plane-wave DFT calculation with GGA-PBE was carried out for a relaxed LiZn2Tc crystal.

Structure (CIF):
```
data_LiZn2Tc
_cell_length_a 4.3154
_cell_length_b 4.3154
_cell_length_c 4.3154
_cell_angle_alpha 60.00
_cell_angle_beta 60.00
_cell_angle_gamma 60.00
_symmetry_space_group_name_H-M 'P 1'
_symmetry_Int_Tables_number 1
loop_
_symmetry_equiv_pos_as_xyz
'x,y,z'
loop_
_atom_site_label
_atom_site_type_symbol
_atom_site_fract_x
_atom_site_fract_y
_atom_site_fract_z
Li1 Li 0.0000 0.0000 0.0000
Zn1 Zn 0.2500 0.2500 0.2500
Zn2 Zn 0.7500 0.7500 0.7500
Tc1 Tc 0.5000 0.5000 0.5000
```

Values from the calculation:
The raw total energy comes out at -3.60 eV/atom. The crystal system is cubic.

=====

Record 8
A plane-wave DFT calculation with GGA-PBE was carried out for a relaxed AlCrPt4 crystal.

Structure (CIF):
```
data_AlCrPt4
_cell_length_a 5.2460
_cell_length_b 5.2460
_cell_length_c 5.2460
_cell_angle_alpha 60.00
_cell_angle_beta 60.00
_cell_angle_gamma 60.00
_symmetry_space_group_name_H-M 'P 1'
_symmetry_Int_Tables_number 1
loop_
_symmetry_equiv_pos_as_xyz
'x,y,z'
loop_
_atom_site_label
_atom_site_type_symbol
_atom_site_fract_x
_atom_site_fract_y
_atom_site_fract_z
Al1 Al 0.0000 0.0000 0.0000
Cr1 Cr 0.7500 0.7500 0.7500
Pt1 Pt 0.3750 0.3750 0.3750
Pt2 Pt 0.3750 0.3750 0.8750
Pt3 Pt 0.3750 0.8750 0.3750
Pt4 Pt 0.8750 0.3750 0.3750
```

Values from the calculation:
The raw total energy comes out at -6.33 eV/atom. The crystal system is cubic.

=====

Record 9
A plane-wave DFT calculation with GGA-PBE was carried out for a relaxed Tb3HoIr3 crystal.

Structure (CIF):
```
data_Tb3HoIr3
_cell_length_a 7.0016
_cell_length_b 7.0016
_cell_length_c 6.6202
_cell_angle_alpha 90.00
_cell_angle_beta 90.00
_cell_angle_gamma 90.60
_symmetry_space_group_name_H-M 'P 1'
_symmetry_Int_Tables_number 1
loop_
_symmetry_equiv_pos_as_xyz
'x,y,z'
loop_
_atom_site_label
_atom_site_type_symbol
_atom_site_fract_x
_atom_site_fract_y
_atom_site_fract_z
Tb1 Tb 0.2450 0.7550 0.0000
Tb2 Tb 0.2455 0.2455 0.0000
Tb3 Tb 0.2497 0.2497 0.5000
Tb4 Tb 0.7503 0.7503 0.5000
Tb5 Tb 0.7545 0.7545 0.0000
Tb6 Tb 0.7550 0.2450 0.0000
Ho1 Ho 0.2397 0.7603 0.5000
Ho2 Ho 0.7603 0.2397 0.5000
Ir1 Ir 0.0000 0.0000 0.2502
Ir2 Ir 0.0000 0.0000 0.7498
Ir3 Ir 0.0000 0.5000 0.2517
Ir4 Ir 0.0000 0.5000 0.7483
Ir5 Ir 0.5000 0.0000 0.2517
Ir6 Ir 0.5000 0.0000 0.7483
```

Values from the calculation:
The raw total energy comes out at -7.13 eV/atom. The crystal system is orthorhombic.

=====

Record 10
A plane-wave DFT calculation with GGA-PBE was carried out for a relaxed La4TbNd6 crystal.

Structure (CIF):
```
data_La4TbNd6
_cell_length_a 9.6886
_cell_length_b 9.6886
_cell_length_c 9.6886
_cell_angle_alpha 137.89
_cell_angle_beta 137.89
_cell_angle_gamma 61.07
_symmetry_space_group_name_H-M 'P 1'
_symmetry_Int_Tables_number 1
loop_
_symmetry_equiv_pos_as_xyz
'x,y,z'
loop_
_atom_site_label
_atom_site_type_symbol
_atom_site_fract_x
_atom_site_fract_y
_atom_site_fract_z
La1 La 0.0076 0.6328 0.0000
La2 La 0.3672 0.3672 0.3748
La3 La 0.6328 0.0076 0.0000
La4 La 0.9924 0.9924 0.6252
Tb1 Tb 0.0000 0.0000 0.0000
Nd1 Nd 0.0000 0.5000 0.5000
Nd2 Nd 0.2192 0.2192 0.6647
Nd3 Nd 0.4455 0.7808 0.0000
Nd4 Nd 0.5000 0.0000 0.5000
Nd5 Nd 0.5545 0.5545 0.3353
Nd6 Nd 0.7808 0.4455 0.0000
```

Values from the calculation:
The raw total energy comes out at -4.55 eV/atom. The crystal system is tetragonal.

=====

Record 11
A plane-wave DFT calculation with GGA-PBE was carried out for a relaxed VRhS2 crystal.

Structure (CIF):
```
data_VRhS2
_cell_length_a 4.2238
_cell_length_b 4.2238
_cell_length_c 4.2238
_cell_angle_alpha 60.00
_cell_angle_beta 60.00
_cell_angle_gamma 60.00
_symmetry_space_group_name_H-M 'P 1'
_symmetry_Int_Tables_number 1
loop_
_symmetry_equiv_pos_as_xyz
'x,y,z'
loop_
_atom_site_label
_atom_site_type_symbol
_atom_site_fract_x
_atom_site_fract_y
_atom_site_fract_z
V1 V 0.0000 0.0000 0.0000
Rh1 Rh 0.5000 0.5000 0.5000
S1 S 0.2500 0.2500 0.2500
S2 S 0.7500 0.7500 0.7500
```

Values from the calculation:
As for the raw formation energy: -0.9 eV per formula unit. The crystal system is cubic.

=====

Record 12
A plane-wave DFT calculation with GGA-PBE was carried out for a relaxed GaHO crystal.

Structure (CIF):
```
data_GaHO
_cell_length_a 2.6447
_cell_length_b 3.2730
_cell_length_c 8.0908
_cell_angle_alpha 90.45
_cell_angle_beta 94.51
_cell_angle_gamma 90.01
_symmetry_space_group_name_H-M 'P 1'
_symmetry_Int_Tables_number 1
loop_
_symmetry_equiv_pos_as_xyz
'x,y,z'
loop_
_atom_site_label
_atom_site_type_symbol
_atom_site_fract_x
_atom_site_fract_y
_atom_site_fract_z
Ga1 Ga 0.2412 0.2474 0.3512
Ga2 Ga 0.7588 0.7526 0.6488
H1 H 0.1515 0.2570 0.8597
H2 H 0.8485 0.7430 0.1403
O1 O 0.2022 0.7441 0.1914
O2 O 0.7978 0.2559 0.8086
```

Values from the calculation:
The raw total energy comes out at -4.66 eV/atom. The crystal system is triclinic.

=====

no.,magnetic moment (μB per formula unit)
1,0.00
2,0.00
3,0.00
4,1.52
5,0.00
6,0.00
7,1.32
8,3.67
9,0.00
10,0.00
11,0.00
12,0.00